{
  "formula": "V3MoO7",
  "functional": "GGA+U",
  "state": "optimized geometry",
  "dft_energy_ev_per_atom": -7.597,
  "lattice": [[5.332, 0.072, -1.099], [-1.362, 5.155, -1.099], [0.055, 0.072, 5.443]],
  "species": ["O", "O", "O", "O", "O", "O", "O", "Mo", "V", "V", "V"],
  "fractional_positions": [[0.690, 0.690, 0.052], [0.261, 0.644, 0.261], [0.644, 0.261, 0.261], [0.052, 0.690, 0.690], [0.138, 0.138, 0.138], [0.690, 0.052, 0.690], [0.261, 0.261, 0.644], [0.879, 0.879, 0.879], [0.409, 0.409, 0.037], [0.409, 0.037, 0.409], [0.037, 0.409, 0.409]]
}